AlTcNi3 | PBE | relaxed

The structure belongs to space group Pm-3m (No. 221); the cell edges are 4.457, 4.457 and 4.457 Å and the angles 90.00°, 90.00° and 90.00°. The inequivalent atoms are Al at (0.000, 0.000, 0.000), Tc at (0.500, 0.500, 0.500) and Ni at (0.000, 0.500, 0.500).

The value obtained for the final energy is -5.073 eV per atom. Its volume is 17.71 Å³/atom. The magnetization comes out at 0.00 μB per formula unit. The relative energy among the computed polymorphs comes out at 0.242 eV per atom. The calculation puts the calculated density at 5.65 Mg/m³. As for the density of states at the Fermi level: 5.9 states/eV per cell. The calculation puts the energy relative to the elements at 1.2178 eV per atom.



MnReW | PBE | relaxed

The structure belongs to space group Fmm2 (No. 42); the cell edges are 3.185, 4.325 and 12.577 Å and the angles 90.00°, 90.00° and 90.00°. The inequivalent atoms are Mn at (0.000, 0.000, 0.000), Re at (0.000, 0.000, 0.659) and W at (0.000, 0.000, 0.337).

The value obtained for the final energy is -11.412 eV per atom. Its volume is 14.44 Å³/atom. The magnetization comes out at 1.74 μB per formula unit. The relative energy among the computed polymorphs comes out at 0.029 eV per atom. The calculation puts the calculated density at 16.29 Mg/m³. As for the density of states at the Fermi level: 7.3 states/eV per cell. The calculation puts the energy relative to the elements at 0.1113 eV per atom.



MnHg2Sb | PBE | relaxed

The structure belongs to space group R-3m (No. 166, hexagonal axes); the cell edges are 3.4530, 3.4530 and 27.0541 Å and the angles 90.00°, 90.00° and 120.00°. The inequivalent atoms are Mn at (0.0000, 0.0000, 0.0000), Hg at (0.0000, 0.0000, 0.2593) and Sb at (0.0000, 0.0000, 0.5000).

The uncorrected formation energy is 0.2984 eV per atom. The value obtained for the final energy is -3.176 eV per atom. Its volume is 23.28 Å³/atom. The magnetization comes out at 4.35 μB per formula unit. The calculation puts the calculated density at 10.30 Mg/m³. As for the density of states at the Fermi level: 5.2 states/eV per cell.